Computed, not measured: a relaxed structure of TaNbVO6 at the GGA+U level of DFT.

Output
electronic total energy	-162.9	eV for the cell shown
total magnetization	3.000	μB per formula unit

Structure (CIF):
```
data_TaNbVO6
_chemical_formula_sum 'Ta2 Nb2 V2 O12'
_space_group_name_H-M_alt 'P 1'
_space_group_IT_number 1
_space_group_name_Hall 'P 1'
_cell_length_a 5.1414
_cell_length_b 5.1414
_cell_length_c 9.1596
_cell_angle_alpha 90.00
_cell_angle_beta 90.00
_cell_angle_gamma 120.00
loop_
_atom_site_label
_atom_site_fract_x
_atom_site_fract_y
_atom_site_fract_z
O1 0.0201 0.6867 0.8732
O2 0.3334 0.3133 0.3732
O3 0.3133 0.9799 0.6268
O4 0.9799 0.6666 0.3732
O5 0.0201 0.3334 0.6268
O6 0.6867 0.0201 0.3732
O7 0.9799 0.3133 0.1268
O8 0.6666 0.9799 0.8732
O9 0.3334 0.0201 0.1268
O10 0.3133 0.3334 0.8732
O11 0.6867 0.6666 0.1268
O12 0.6666 0.6867 0.6268
Nb1 0.0000 0.0000 0.0000
Nb2 0.0000 0.0000 0.5000
Ta1 0.3333 0.6667 0.7500
Ta2 0.6667 0.3333 0.2500
V1 0.6667 0.3333 0.7500
V2 0.3333 0.6667 0.2500
```